Entry 1:
Density functional theory data (PBE-GGA) for MnCr2Tc after structural relaxation.

Cell lengths 2.914, 2.914, 5.932 Å; angles 90.00, 90.00, 90.00 degrees
Atoms (fractional coordinates):
Mn 0.000 0.000 0.000
Cr 0.000 0.000 0.532
Cr 0.500 0.500 0.772
Tc 0.500 0.500 0.282

## Properties
**Space group**: P4mm, No. 99
**Calculated total energy**: -9.642 eV per atom
**Relative energy among the computed polymorphs**: 0.0 kJ per mole of atoms

---

Entry 2:
Density functional theory data (PBE-GGA) for Cs3Se2S3 after structural relaxation.

Cell lengths 7.156, 7.156, 19.588 Å; angles 90.00, 90.00, 145.03 degrees
Atoms (fractional coordinates):
Cs 0.080 0.920 0.611
Cs 0.080 0.920 0.889
Cs 0.323 0.677 0.750
Cs 0.677 0.323 0.250
Cs 0.920 0.080 0.111
Cs 0.920 0.080 0.389
Se 0.192 0.808 0.082
Se 0.192 0.808 0.418
Se 0.808 0.192 0.582
Se 0.808 0.192 0.918
S 0.360 0.640 0.549
S 0.360 0.640 0.951
S 0.400 0.600 0.250
S 0.600 0.400 0.750
S 0.640 0.360 0.049
S 0.640 0.360 0.451

## Properties
**Formation energy from raw total energies**: -603 meV/atom
**Space group**: Cmcm, No. 63
**Calculated total energy**: -3.342 eV per atom

---

Entry 3:
Density functional theory data (PBE-GGA) for Na4Pu3ScSe8 after structural relaxation.

Cell lengths 8.431, 8.431, 8.431 Å; angles 58.95, 58.95, 58.95 degrees
Atoms (fractional coordinates):
Na 0.000 0.000 0.000
Na 0.000 0.500 0.500
Na 0.500 0.000 0.500
Na 0.500 0.500 0.000
Pu 0.000 0.000 0.500
Pu 0.000 0.500 0.000
Pu 0.500 0.000 0.000
Sc 0.500 0.500 0.500
Se 0.244 0.244 0.244
Se 0.255 0.735 0.735
Se 0.265 0.265 0.745
Se 0.265 0.745 0.265
Se 0.735 0.255 0.735
Se 0.735 0.735 0.255
Se 0.745 0.265 0.265
Se 0.756 0.756 0.756

## Properties
**Formation energy from raw total energies**: -1442 meV/atom
**Space group**: R-3m, No. 166
**Calculated total energy**: -6.597 eV per atom

---

Entry 4:
Density functional theory data (PBE-GGA) for LaSmEu2 after structural relaxation.

Cell lengths 5.986, 5.986, 5.986 Å; angles 60.00, 60.00, 60.00 degrees
Atoms (fractional coordinates):
La 0.000 0.000 0.000
Sm 0.500 0.500 0.500
Eu 0.250 0.250 0.250
Eu 0.750 0.750 0.750

## Properties
**Space group**: Fm-3m, No. 225
**Calculated total energy**: -7.421 eV per atom
**Relative energy among the computed polymorphs**: 5.2 kJ per mole of atoms

---

Entry 5:
Density functional theory data (PBE-GGA) for LaZrTa2 after structural relaxation.

Cell lengths 3.093, 4.757, 6.400 Å; angles 90.00, 103.84, 90.00 degrees
Atoms (fractional coordinates):
La 0.000 0.000 0.000
Zr 0.407 0.500 0.694
Ta 0.564 0.500 0.278
Ta 0.943 0.000 0.473

## Properties
**Space group**: Pm, No. 6
**Calculated total energy**: -8.943 eV per atom
**Relative energy among the computed polymorphs**: 14.2 kJ per mole of atoms

---

Entry 6:
Density functional theory data (PBE-GGA) for NdEr6Co2 after structural relaxation.

Cell lengths 8.456, 8.456, 8.456 Å; angles 112.21, 108.55, 107.68 degrees
Atoms (fractional coordinates):
Nd 0.000 0.000 0.000
Nd 0.500 0.500 0.000
Er 0.017 0.238 0.780
Er 0.187 0.290 0.477
Er 0.187 0.710 0.897
Er 0.319 0.004 0.685
Er 0.319 0.634 0.315
Er 0.458 0.238 0.220
Er 0.542 0.762 0.780
Er 0.681 0.366 0.685
Er 0.681 0.996 0.315
Er 0.813 0.290 0.103
Er 0.813 0.710 0.523
Er 0.983 0.762 0.220
Co 0.113 0.613 0.500
Co 0.326 0.000 0.326
Co 0.674 0.000 0.674
Co 0.887 0.387 0.500

## Properties
**Space group**: Immm, No. 71
**Calculated total energy**: -5.214 eV per atom

---

Asked for calculated density across the records above, the calculation gives 8.470, 3.772, 6.024, 6.496, 10.753, 9.046 g/cm3 in order.